No. 1
First-principles (PBE) data for a geometry-optimized Li3Ho3CrS8 structure, as listed in Alexandria via LeMat-Bulk.

Unit cell a=7.5470 b=7.5470 c=7.5470 alpha=60.54 beta=60.54 gamma=60.54
Element x y z (fractional)
Li 0.0000 0.5000 0.5000
Li 0.5000 0.0000 0.5000
Li 0.5000 0.5000 0.0000
Ho 0.0000 0.0000 0.5000
Ho 0.0000 0.5000 0.0000
Ho 0.5000 0.0000 0.0000
Cr 0.5000 0.5000 0.5000
S 0.2514 0.2514 0.2514
S 0.2718 0.2718 0.7231
S 0.2718 0.7231 0.2718
S 0.2769 0.7282 0.7282
S 0.7231 0.2718 0.2718
S 0.7282 0.2769 0.7282
S 0.7282 0.7282 0.2769
S 0.7486 0.7486 0.7486

The calculation puts the uncorrected formation energy at -1.534 eV/atom. For the density of states at the Fermi level, the calculation gives 9.4 states/eV/f.u.

---

No. 2
First-principles (PBE) data for a geometry-optimized Li2HoCrS4 structure, as listed in Alexandria via LeMat-Bulk.

Unit cell a=6.3517 b=3.7177 c=6.4672 alpha=90.00 beta=109.07 gamma=90.00
Element x y z (fractional)
Li 0.0000 0.0000 0.0000
Li 0.5000 0.5000 0.0000
Ho 0.0000 0.5000 0.5000
Cr 0.5000 0.0000 0.5000
S 0.2703 0.0000 0.7464
S 0.2834 0.5000 0.2700
S 0.7166 0.5000 0.7300
S 0.7297 0.0000 0.2536

The calculation puts the uncorrected formation energy at -1.366 eV/atom.

---

No. 3
First-principles (PBE) data for a geometry-optimized Li3HoCr2S6 structure, as listed in Alexandria via LeMat-Bulk.

Unit cell a=6.2660 b=6.2660 c=6.4402 alpha=99.35 beta=99.35 gamma=120.02
Element x y z (fractional)
Li 0.0000 0.0000 0.0000
Li 0.3342 0.6658 0.0000
Li 0.6658 0.3342 0.0000
Ho 0.5000 0.5000 0.5000
Cr 0.1670 0.8330 0.5000
Cr 0.8330 0.1670 0.5000
S 0.0591 0.4229 0.2684
S 0.2152 0.2152 0.7348
S 0.4229 0.0591 0.2684
S 0.5771 0.9409 0.7316
S 0.7848 0.7848 0.2652
S 0.9409 0.5771 0.7316

The calculation puts the uncorrected formation energy at -1.251 eV/atom.

---

No. 4
First-principles (PBE) data for a geometry-optimized LiHoScCr structure, as listed in Alexandria via LeMat-Bulk.

Unit cell a=6.9486 b=6.9486 c=6.9486 alpha=90.00 beta=90.00 gamma=90.00
Element x y z (fractional)
Li 0.0000 0.0000 0.0000
Li 0.0000 0.5000 0.5000
Li 0.5000 0.0000 0.5000
Li 0.5000 0.5000 0.0000
Ho 0.2500 0.2500 0.2500
Ho 0.2500 0.7500 0.7500
Ho 0.7500 0.2500 0.7500
Ho 0.7500 0.7500 0.2500
Sc 0.2500 0.2500 0.7500
Sc 0.2500 0.7500 0.2500
Sc 0.7500 0.2500 0.2500
Sc 0.7500 0.7500 0.7500
Cr 0.0000 0.0000 0.5000
Cr 0.0000 0.5000 0.0000
Cr 0.5000 0.0000 0.0000
Cr 0.5000 0.5000 0.5000

As for the formation energy: 0.18 eV per atom. For the density of states at the Fermi level, the calculation gives 3.1 states/eV/f.u.

---

No. 5
First-principles (PBE) data for a geometry-optimized LiSmHoCr structure, as listed in Alexandria via LeMat-Bulk.

Unit cell a=7.2372 b=7.2372 c=7.2372 alpha=90.00 beta=90.00 gamma=90.00
Element x y z (fractional)
Li 0.0000 0.0000 0.0000
Li 0.0000 0.5000 0.5000
Li 0.5000 0.0000 0.5000
Li 0.5000 0.5000 0.0000
Sm 0.2500 0.2500 0.7500
Sm 0.2500 0.7500 0.2500
Sm 0.7500 0.2500 0.2500
Sm 0.7500 0.7500 0.7500
Ho 0.2500 0.2500 0.2500
Ho 0.2500 0.7500 0.7500
Ho 0.7500 0.2500 0.7500
Ho 0.7500 0.7500 0.2500
Cr 0.0000 0.0000 0.5000
Cr 0.0000 0.5000 0.0000
Cr 0.5000 0.0000 0.0000
Cr 0.5000 0.5000 0.5000

As for the formation energy: 0.19 eV per atom. For the density of states at the Fermi level, the calculation gives 3.2 states/eV/f.u.

---

No. 6
First-principles (PBE) data for a geometry-optimized LiHoThCr structure, as listed in Alexandria via LeMat-Bulk.

Unit cell a=7.1970 b=7.1970 c=7.1970 alpha=90.00 beta=90.00 gamma=90.00
Element x y z (fractional)
Li 0.0000 0.0000 0.0000
Li 0.0000 0.5000 0.5000
Li 0.5000 0.0000 0.5000
Li 0.5000 0.5000 0.0000
Ho 0.2500 0.2500 0.7500
Ho 0.2500 0.7500 0.2500
Ho 0.7500 0.2500 0.2500
Ho 0.7500 0.7500 0.7500
Th 0.2500 0.2500 0.2500
Th 0.2500 0.7500 0.7500
Th 0.7500 0.2500 0.7500
Th 0.7500 0.7500 0.2500
Cr 0.0000 0.0000 0.5000
Cr 0.0000 0.5000 0.0000
Cr 0.5000 0.0000 0.0000
Cr 0.5000 0.5000 0.5000

As for the formation energy: 0.22 eV per atom. For the density of states at the Fermi level, the calculation gives 3.4 states/eV/f.u.

---

No. 7
First-principles (PBE) data for a geometry-optimized HoLuMgCr structure, as listed in Alexandria via LeMat-Bulk.

Unit cell a=7.2493 b=7.2493 c=7.2493 alpha=90.00 beta=90.00 gamma=90.00
Element x y z (fractional)
Ho 0.0000 0.0000 0.0000
Ho 0.0000 0.5000 0.5000
Ho 0.5000 0.0000 0.5000
Ho 0.5000 0.5000 0.0000
Lu 0.0000 0.0000 0.5000
Lu 0.0000 0.5000 0.0000
Lu 0.5000 0.0000 0.0000
Lu 0.5000 0.5000 0.5000
Mg 0.2500 0.2500 0.2500
Mg 0.2500 0.7500 0.7500
Mg 0.7500 0.2500 0.7500
Mg 0.7500 0.7500 0.2500
Cr 0.2500 0.2500 0.7500
Cr 0.2500 0.7500 0.2500
Cr 0.7500 0.2500 0.2500
Cr 0.7500 0.7500 0.7500

As for the formation energy: 0.14 eV per atom. For the density of states at the Fermi level, the calculation gives 2.5 states/eV/f.u.

---

No. 8
First-principles (PBE) data for a geometry-optimized HoLuZnCr structure, as listed in Alexandria via LeMat-Bulk.

Unit cell a=7.0414 b=7.0414 c=7.0414 alpha=90.00 beta=90.00 gamma=90.00
Element x y z (fractional)
Ho 0.0000 0.0000 0.0000
Ho 0.0000 0.5000 0.5000
Ho 0.5000 0.0000 0.5000
Ho 0.5000 0.5000 0.0000
Lu 0.0000 0.0000 0.5000
Lu 0.0000 0.5000 0.0000
Lu 0.5000 0.0000 0.0000
Lu 0.5000 0.5000 0.5000
Zn 0.2500 0.2500 0.7500
Zn 0.2500 0.7500 0.2500
Zn 0.7500 0.2500 0.2500
Zn 0.7500 0.7500 0.7500
Cr 0.2500 0.2500 0.2500
Cr 0.2500 0.7500 0.7500
Cr 0.7500 0.2500 0.7500
Cr 0.7500 0.7500 0.2500

As for the formation energy: 0.00 eV per atom. For the density of states at the Fermi level, the calculation gives 1.6 states/eV/f.u.

---

Q: What is the formula in the fourth record?
A: LiHoScCr